# LaCo2CuH8 | Alexandria | PBE-GGA | optimized geometry
# volume = 8.0 Å³/atom
# calculated total energy = -157.5 eV for the cell shown
data_LaCo2CuH8
_symmetry_space_group_name_H-M 'R -3'
_symmetry_Int_Tables_number 148
_symmetry_space_group_name_Hall '-R 3'
_cell_length_a 4.5115
_cell_length_b 4.5115
_cell_length_c 16.3692
_cell_angle_alpha 90.00
_cell_angle_beta 90.00
_cell_angle_gamma 120.00
loop_
_atom_site_label
_atom_site_type_symbol
_atom_site_fract_x
_atom_site_fract_y
_atom_site_fract_z
_atom_site_occupancy
La1 La 0.0000 0.0000 0.0000 1
Co1 Co 0.0000 0.0000 0.1974 1
Cu1 Cu 0.0000 0.0000 0.5000 1
H1 H 0.0000 0.0000 0.2959 1
H2 H 0.0058 0.7203 0.8754 1

***

# AcMg2CdHg2 | Alexandria | PBE-GGA | optimized geometry
# volume = 26.0 Å³/atom
# calculated total energy = -10.8 eV for the cell shown
data_AcMg2CdHg2
_symmetry_space_group_name_H-M 'P -3 m 1'
_symmetry_Int_Tables_number 164
_symmetry_space_group_name_Hall '-P 3 2"'
_cell_length_a 4.9385
_cell_length_b 4.9385
_cell_length_c 7.3719
_cell_angle_alpha 90.00
_cell_angle_beta 90.00
_cell_angle_gamma 120.00
loop_
_atom_site_label
_atom_site_type_symbol
_atom_site_fract_x
_atom_site_fract_y
_atom_site_fract_z
_atom_site_occupancy
Ac1 Ac 0.0000 0.0000 0.0000 1
Mg1 Mg 0.3333 0.6667 0.6585 1
Cd1 Cd 0.0000 0.0000 0.5000 1
Hg1 Hg 0.3333 0.6667 0.2436 1

***

# VCr2CuSi | Alexandria | PBE-GGA | optimized geometry
# volume = 16.5 Å³/atom
# calculated total energy = -33.7 eV for the cell shown
# ΔE_f (raw) = 4.2 eV per formula unit
data_VCr2CuSi
_symmetry_space_group_name_H-M 'P 4/m m m'
_symmetry_Int_Tables_number 123
_symmetry_space_group_name_Hall '-P 4 2'
_cell_length_a 4.425
_cell_length_b 4.425
_cell_length_c 4.202
_cell_angle_alpha 90.00
_cell_angle_beta 90.00
_cell_angle_gamma 90.00
loop_
_atom_site_label
_atom_site_type_symbol
_atom_site_fract_x
_atom_site_fract_y
_atom_site_fract_z
_atom_site_occupancy
V1 V 0.000 0.000 0.000 1
Cr1 Cr 0.000 0.500 0.500 1
Cu1 Cu 0.500 0.500 0.000 1
Si1 Si 0.500 0.500 0.500 1

***

# La3Nd3AlTl2 | Alexandria | PBE-GGA | optimized geometry
# volume = 31.7 Å³/atom
# calculated total energy = -40.0 eV for the cell shown
data_La3Nd3AlTl2
_symmetry_space_group_name_H-M 'P -6 2 m'
_symmetry_Int_Tables_number 189
_symmetry_space_group_name_Hall 'P -6 -2'
_cell_length_a 9.2234
_cell_length_b 9.2234
_cell_length_c 3.8771
_cell_angle_alpha 90.00
_cell_angle_beta 90.00
_cell_angle_gamma 120.00
loop_
_atom_site_label
_atom_site_type_symbol
_atom_site_fract_x
_atom_site_fract_y
_atom_site_fract_z
_atom_site_occupancy
La1 La 0.0000 0.3823 0.0000 1
Nd1 Nd 0.0000 0.7228 0.5000 1
Al1 Al 0.0000 0.0000 0.0000 1
Tl1 Tl 0.3333 0.6667 0.5000 1

***

# BaSrPb2 | Alexandria | PBE-GGA | optimized geometry
# volume = 38.5 Å³/atom
# calculated total energy = -25.8 eV for the cell shown
data_BaSrPb2
_symmetry_space_group_name_H-M 'I m m 2'
_symmetry_Int_Tables_number 44
_cell_length_a 4.561
_cell_length_b 5.385
_cell_length_c 12.527
_cell_angle_alpha 90.00
_cell_angle_beta 90.00
_cell_angle_gamma 90.00
loop_
_symmetry_equiv_pos_as_xyz
'x,y,z'
'-x,-y,z'
'-x,y,z'
'x,-y,z'
'x+1/2,y+1/2,z+1/2'
'-x+1/2,-y+1/2,z+1/2'
'-x+1/2,y+1/2,z+1/2'
'x+1/2,-y+1/2,z+1/2'
loop_
_atom_site_label
_atom_site_type_symbol
_atom_site_fract_x
_atom_site_fract_y
_atom_site_fract_z
_atom_site_occupancy
Ba1 Ba 0.000 0.000 0.000 1
Sr1 Sr 0.000 0.500 0.237 1
Pb1 Pb 0.000 0.000 0.441 1
Pb2 Pb 0.000 0.500 0.763 1

***

# Tm3Al2Ni9 | Alexandria | PBE-GGA | optimized geometry
# volume = 14.7 Å³/atom
# calculated total energy = -158.0 eV for the cell shown
data_Tm3Al2Ni9
_symmetry_space_group_name_H-M 'I m m m'
_symmetry_Int_Tables_number 71
_symmetry_space_group_name_Hall '-I 2 2'
_cell_length_a 3.959
_cell_length_b 8.583
_cell_length_c 12.153
_cell_angle_alpha 90.00
_cell_angle_beta 90.00
_cell_angle_gamma 90.00
loop_
_atom_site_label
_atom_site_type_symbol
_atom_site_fract_x
_atom_site_fract_y
_atom_site_fract_z
_atom_site_occupancy
Tm1 Tm 0.000 0.000 0.000 1
Tm2 Tm 0.000 0.000 0.297 1
Al1 Al 0.000 0.207 0.500 1
Ni1 Ni 0.000 0.278 0.120 1
Ni2 Ni 0.000 0.353 0.324 1
Ni3 Ni 0.000 0.500 0.000 1

***

| no. | magnetic moment (μB/cell) |
| --- | --- |
| 1 | 0.00 |
| 2 | 0.00 |
| 3 | 2.61 |
| 4 | 0.00 |
| 5 | 0.00 |
| 6 | 0.00 |